No. 1
AgRhW2 | meta-GGA SCAN | single point on PBEsol structure

The space group is C2/m (No. 12) and the conventional cell measures 9.438, 2.852 and 4.630 Å, with angles of 90.00, 101.89 and 90.00 degrees. The distinct sites, in fractional coordinates, are Ag at (0.000, 0.000, 0.000), Rh at (0.000, 0.500, 0.500) and W at (0.243, 0.000, 0.737).

Its energy above the most stable polymorph in this dataset is 71 meV per atom. As for the crystal system: monoclinic. The value obtained for the magnetization is 0.000 μB per atom. Its energy relative to the elements is 0.400 eV/atom. Its density of states at the Fermi level is 0.62 states/eV/atom. For the energy, the calculation gives -50.73 eV per atom.

---

No. 2
AgRhW | meta-GGA SCAN | single point on PBEsol structure

The space group is Imm2 (No. 44) and the conventional cell measures 2.767, 3.896 and 8.284 Å, with angles of 90.00, 90.00 and 90.00 degrees. The distinct sites, in fractional coordinates, are Ag at (0.000, 0.000, 0.000), Rh at (0.000, 0.000, 0.672) and W at (0.000, 0.000, 0.326).

Its energy above the most stable polymorph in this dataset is 0 meV per atom. As for the crystal system: orthorhombic. The value obtained for the magnetization is 0.000 μB per atom. Its energy relative to the elements is 0.255 eV/atom. Its density of states at the Fermi level is 0.47 states/eV/atom. For the energy, the calculation gives -44.69 eV per atom.

---

No. 3
YAg2RhW | meta-GGA SCAN | single point on PBEsol structure

The space group is P4/mmm (No. 123) and the conventional cell measures 5.016, 5.016 and 4.644 Å, with angles of 90.00, 90.00 and 90.00 degrees. The distinct sites, in fractional coordinates, are Y at (0.000, 0.000, 0.000), Ag at (0.000, 0.500, 0.000), Rh at (0.000, 0.000, 0.500) and W at (0.500, 0.500, 0.500).

As for the crystal system: tetragonal. The value obtained for the magnetization is 0.743 μB per atom. Its energy relative to the elements is 1.960 eV/atom. Its density of states at the Fermi level is 0.47 states/eV/atom. For the energy, the calculation gives -36.85 eV per atom.

---

No. 4
YAgRh2 | meta-GGA SCAN | single point on PBEsol structure

The space group is Pmm2 (No. 25) and the conventional cell measures 3.008, 3.916 and 5.757 Å, with angles of 90.00, 90.00 and 90.00 degrees. The distinct sites, in fractional coordinates, are Y at (0.000, 0.000, 0.000), Ag at (0.500, 0.500, 0.290), Rh at (0.000, 0.000, 0.530) and Rh at (0.500, 0.500, 0.748).

As for the crystal system: orthorhombic. The value obtained for the magnetization is 0.000 μB per atom. Its energy relative to the elements is -0.209 eV/atom. Its density of states at the Fermi level is 0.85 states/eV/atom. For the energy, the calculation gives -31.90 eV per atom.

---

No. 5
YAgRh2 | meta-GGA SCAN | single point on PBEsol structure

The space group is R-3m (No. 166, hexagonal axes) and the conventional cell measures 3.0752, 3.0752 and 25.5450 Å, with angles of 90.00, 90.00 and 120.00 degrees. The distinct sites, in fractional coordinates, are Y at (0.0000, 0.0000, 0.0000), Ag at (0.0000, 0.0000, 0.5000) and Rh at (0.0000, 0.0000, 0.2515).

As for the crystal system: trigonal. The value obtained for the magnetization is 0.000 μB per atom. Its energy relative to the elements is 0.037 eV/atom. Its density of states at the Fermi level is 0.58 states/eV/atom. For the energy, the calculation gives -31.65 eV per atom.

---

No. 6
YAgRh4 | meta-GGA SCAN | single point on PBEsol structure

The space group is F-43m (No. 216) and the conventional cell measures 7.306, 7.306 and 7.306 Å, with angles of 90.00, 90.00 and 90.00 degrees. The distinct sites, in fractional coordinates, are Y at (0.000, 0.000, 0.000), Ag at (0.250, 0.250, 0.250) and Rh at (0.125, 0.125, 0.625).

As for the crystal system: cubic. The value obtained for the magnetization is 0.000 μB per atom. Its energy relative to the elements is -0.339 eV/atom. Its density of states at the Fermi level is 1.12 states/eV/atom. For the energy, the calculation gives -32.72 eV per atom.

---

No. 7
Zn2AgRh | meta-GGA SCAN | single point on PBEsol structure

The space group is Cm (No. 8) and the conventional cell measures 9.359, 2.911 and 4.375 Å, with angles of 90.00, 109.26 and 90.00 degrees. The distinct sites, in fractional coordinates, are Zn at (0.000, 0.000, 0.000), Zn at (0.242, 0.500, 0.349), Ag at (0.250, 0.000, 0.848) and Rh at (0.484, 0.000, 0.485).

As for the crystal system: monoclinic. The value obtained for the magnetization is 0.000 μB per atom. Its energy relative to the elements is -0.192 eV/atom. Its density of states at the Fermi level is 0.32 states/eV/atom. For the energy, the calculation gives -23.23 eV per atom.

---

No. 8
ZnAgRh2 | meta-GGA SCAN | single point on PBEsol structure

The space group is R-3m (No. 166, hexagonal axes) and the conventional cell measures 2.7299, 2.7299 and 26.1600 Å, with angles of 90.00, 90.00 and 120.00 degrees. The distinct sites, in fractional coordinates, are Zn at (0.0000, 0.0000, 0.0000), Ag at (0.0000, 0.0000, 0.5000) and Rh at (0.0000, 0.0000, 0.2552).

As for the crystal system: trigonal. The value obtained for the magnetization is 0.000 μB per atom. Its energy relative to the elements is -0.042 eV/atom. Its density of states at the Fermi level is 1.03 states/eV/atom. For the energy, the calculation gives -28.15 eV per atom.

---

Question: Among the records above, which one has the highest energy?
Answer: Zn2AgRh